[1]
Pr3Ge3Pd: optimized geometry, PBE-GGA.

Lattice parameters (Å, degrees): 4.4717 5.9609 13.8359 84.57 80.70 67.97
Closest atoms and distances in Å follow each position.
Atoms (fractional coordinates):
1 Pd 0.7522 0.0987 0.3969  4 Ge 2.60-2.88
2 Pd 0.2478 0.9013 0.6031  4 Ge 2.60-2.88
3 Ge 0.1171 0.8417 0.9240  2 Ge 2.68-2.76
4 Ge 0.8829 0.1583 0.0760  2 Ge 2.68-2.76
5 Ge 0.8714 0.7124 0.5448  3 Pd 2.60-2.88, 1 Ge 2.69
6 Ge 0.1286 0.2876 0.4552  3 Pd 2.60-2.88, 1 Ge 2.69
7 Ge 0.9620 0.8451 0.2308  1 Ge 2.68, 1 Pd 2.71
8 Ge 0.0380 0.1549 0.7692  1 Ge 2.68, 1 Pd 2.71
9 Pr 0.3986 0.2795 0.9232  7 Ge 3.11-3.29
10 Pr 0.2552 0.2610 0.2286  6 Ge 3.10-3.23, 2 Pd 3.31
11 Pr 0.6014 0.7205 0.0768  7 Ge 3.11-3.29
12 Pr 0.4639 0.6912 0.3810  7 Ge 3.13-3.48, 4 Pd 3.19-3.29
13 Pr 0.5361 0.3088 0.6190  7 Ge 3.13-3.48, 4 Pd 3.19-3.29
14 Pr 0.7448 0.7390 0.7714  6 Ge 3.10-3.23, 2 Pd 3.31

SG	No. 12
size of the total moment	0.000	μB per atom
ΔE_f	-0.867	eV/atom
DOS(E_F)	10.828	states/eV/cell

[2]
PrGePd: optimized geometry, PBE-GGA.

Lattice parameters (Å, degrees): 4.0019 4.0019 5.2056 112.61 112.61 90.00
Closest atoms and distances in Å follow each position.
Atoms (fractional coordinates):
1 Pd 0.2643 0.2643 0.5287  1 Ge 2.66
2 Pr 0.6252 0.6252 0.2503  5 Ge 2.93-3.17, 5 Pd 3.08-3.15
3 Ge 0.9605 0.9605 0.9210  1 Pd 2.66, 1 Pr 2.93

SG	No. 107
size of the total moment	0.000	μB per atom
ΔE_f	-0.463	eV/atom
DOS(E_F)	1.645	states/eV/cell

[3]
PrGePd: optimized geometry, PBE-GGA.

Lattice parameters (Å, degrees): 3.7537 4.5067 4.5067 120.00 90.00 90.00
Closest atoms and distances in Å follow each position.
Atoms (fractional coordinates):
1 Pd 0.1666 0.6667 0.3333  3 Ge 2.60
2 Ge 0.1667 0.0000 0.0000  3 Pd 2.60
3 Pr 0.6666 0.3333 0.6667  6 Ge 3.21, 6 Pd 3.21

SG	No. 187
size of the total moment	0.000	μB per atom
ΔE_f	-0.902	eV/atom
DOS(E_F)	1.508	states/eV/cell

[4]
Pr8Ge2Pd: optimized geometry, PBE-GGA.

Lattice parameters (Å, degrees): 4.9240 7.0992 10.0375 102.99 104.20 90.00
Closest atoms and distances in Å follow each position.
Atoms (fractional coordinates):
1 Pr 0.4047 0.5206 0.8094  2 Ge 3.34, 1 Pd 3.48, 8 Pr 3.57-3.74
2 Pr 0.9776 0.2203 0.9551  2 Pd 3.00, 1 Ge 3.18
3 Pr 0.5953 0.4794 0.1906  2 Ge 3.34, 1 Pd 3.48, 8 Pr 3.57-3.74
4 Pr 0.0224 0.7797 0.0449  2 Pd 3.00, 1 Ge 3.18
5 Pr 0.6573 0.9953 0.3145  1 Pd 3.07, 3 Ge 3.12-3.21, 2 Pr 3.42
6 Pr 0.2138 0.3307 0.4276  3 Ge 3.18-3.31, 4 Pr 3.42-3.50
7 Pr 0.7862 0.6693 0.5724  3 Ge 3.18-3.31, 4 Pr 3.42-3.50
8 Pr 0.3427 0.0047 0.6855  1 Pd 3.07, 3 Ge 3.12-3.21, 2 Pr 3.42
9 Ge 0.8169 0.2485 0.6337  9 Pr 3.12-3.34
10 Ge 0.1831 0.7515 0.3663  9 Pr 3.12-3.34
11 Pd 0.5000 0.0000 0.0000  6 Pr 3.00-3.07

SG	No. 12
size of the total moment	0.000	μB per atom
ΔE_f	-0.408	eV/atom
DOS(E_F)	10.803	states/eV/cell

[5]
Pr4Ge2Pd: optimized geometry, PBE-GGA.

Lattice parameters (Å, degrees): 7.9767 7.9767 7.9767 110.16 110.17 108.10
Closest atoms and distances in Å follow each position.
Atoms (fractional coordinates):
1 Pr 0.8702 0.6245 0.6187  1 Pd 2.99, 3 Ge 3.02-3.29
2 Pr 0.5017 0.7558 0.8813  1 Pd 2.99, 3 Ge 3.02-3.29
3 Pr 0.3754 0.9942 0.2458  1 Pd 2.99, 3 Ge 3.02-3.29
4 Pr 0.3795 0.4984 0.2540  1 Pd 2.99, 3 Ge 3.02-3.29
5 Pr 0.7485 0.1297 0.7541  1 Pd 2.99, 3 Ge 3.02-3.29
6 Pr 0.0058 0.2517 0.3814  1 Pd 2.99, 3 Ge 3.02-3.29
7 Pr 0.2444 0.1254 0.7459  1 Pd 2.99, 3 Ge 3.02-3.29
8 Pr 0.8745 0.6204 0.1188  1 Pd 2.99, 3 Ge 3.02-3.29
9 Ge 0.1250 0.4925 0.8673  6 Pr 3.02-3.29
10 Ge 0.7424 0.8750 0.3674  6 Pr 3.02-3.29
11 Ge 0.5076 0.3749 0.6326  6 Pr 3.02-3.29
12 Ge 0.6251 0.2576 0.1327  6 Pr 3.02-3.29
13 Pd 0.0001 0.0002 0.0000  4 Pr 2.99
14 Pd 0.2499 0.7499 0.5000  4 Pr 2.99

SG	No. 122
size of the total moment	0.000	μB per atom
ΔE_f	-0.689	eV/atom
DOS(E_F)	11.421	states/eV/cell

[6]
Pr3Ge4Pd7: optimized geometry, PBE-GGA.

Lattice parameters (Å, degrees): 4.1845 8.3187 8.5283 70.92 75.80 75.43
Closest atoms and distances in Å follow each position.
Atoms (fractional coordinates):
1 Ge 0.8912 0.8914 0.3263  6 Pd 2.59-2.66
2 Ge 0.1088 0.1086 0.6737  6 Pd 2.59-2.66
3 Ge 0.3365 0.5579 0.7691  5 Pd 2.56-2.63
4 Ge 0.6635 0.4421 0.2309  5 Pd 2.56-2.63
5 Pd 0.3071 0.8540 0.5317  4 Ge 2.63-2.66, 1 Pd 2.88
6 Pd 0.0000 0.0000 0.0000  2 Ge 2.59
7 Pd 0.1688 0.5872 0.0751  3 Ge 2.56-2.61
8 Pd 0.4911 0.2366 0.7812  3 Ge 2.56-2.60
9 Pd 0.5089 0.7634 0.2188  3 Ge 2.56-2.60
10 Pd 0.6929 0.1460 0.4683  4 Ge 2.63-2.66, 1 Pd 2.88
11 Pd 0.8312 0.4128 0.9249  3 Ge 2.56-2.61
12 Pr 0.0000 0.5000 0.5000  6 Ge 3.07-3.18, 6 Pd 3.38-3.39
13 Pr 0.6758 0.8211 0.8274  10 Pd 3.11-3.36, 4 Ge 3.11
14 Pr 0.3242 0.1789 0.1726  10 Pd 3.11-3.36, 4 Ge 3.11

SG	No. 12
size of the total moment	0.000	μB per atom
ΔE_f	-0.812	eV/atom
DOS(E_F)	8.971	states/eV/cell